# 1
Nd2MgI: optimized geometry, PBE-GGA.

Energy above the lowest structure with this stoichiometry (kJ/mol of formula units): 18.2
Formation energy from raw total energies (eV/atom): -0.344

```
data_Nd2MgI
_chemical_formula_sum 'Nd6 Mg3 I3'
_space_group_name_H-M_alt 'P 1'
_space_group_IT_number 1
_space_group_name_Hall 'P 1'
_cell_length_a 3.8405
_cell_length_b 3.8405
_cell_length_c 30.5611
_cell_angle_alpha 90.00
_cell_angle_beta 90.00
_cell_angle_gamma 120.00
loop_
_atom_site_label
_atom_site_fract_x
_atom_site_fract_y
_atom_site_fract_z
Nd1 0.0000 0.0000 0.0000
Nd2 0.0000 0.0000 0.1676
Nd3 0.3333 0.6667 0.6667
Nd4 0.3333 0.6667 0.8343
Nd5 0.6667 0.3333 0.3333
Nd6 0.6667 0.3333 0.5010
Mg1 0.0000 0.0000 0.4168
Mg2 0.3333 0.6667 0.0835
Mg3 0.6667 0.3333 0.7501
I1 0.0000 0.0000 0.5835
I2 0.3333 0.6667 0.2502
I3 0.6667 0.3333 0.9169
```

# 2
Th2CoAu: optimized geometry, PBE-GGA.

Energy of formation (meV per atom): -417.3

```
data_Th2CoAu
_chemical_formula_sum 'Th2 Co1 Au1'
_space_group_name_H-M_alt 'P 1'
_space_group_IT_number 1
_space_group_name_Hall 'P 1'
_cell_length_a 4.1009
_cell_length_b 4.1009
_cell_length_c 7.0444
_cell_angle_alpha 90.00
_cell_angle_beta 90.00
_cell_angle_gamma 120.00
loop_
_atom_site_label
_atom_site_fract_x
_atom_site_fract_y
_atom_site_fract_z
Th1 0.3333 0.6667 0.2059
Th2 0.6667 0.3333 0.7941
Co1 0.0000 0.0000 0.0000
Au1 0.0000 0.0000 0.5000
```

# 3
AcNd2Bi: optimized geometry, PBE-GGA.

Energy of formation (meV per atom): -395.6
Energy above the lowest structure with this stoichiometry (kJ/mol of formula units): 2.6

```
data_AcNd2Bi
_chemical_formula_sum 'Ac1 Nd2 Bi1'
_space_group_name_H-M_alt 'P 1'
_space_group_IT_number 1
_space_group_name_Hall 'P 1'
_cell_length_a 4.1855
_cell_length_b 4.1855
_cell_length_c 7.9127
_cell_angle_alpha 90.00
_cell_angle_beta 90.00
_cell_angle_gamma 90.00
loop_
_atom_site_label
_atom_site_fract_x
_atom_site_fract_y
_atom_site_fract_z
Ac1 0.0000 0.0000 0.0000
Nd1 0.5000 0.5000 0.2890
Nd2 0.5000 0.5000 0.7110
Bi1 0.0000 0.0000 0.5000
```

# 4
Pm6CoNi2I3: optimized geometry, PBE-GGA.

Formation energy from raw total energies (eV/atom): -0.651

```
data_Pm6CoNi2I3
_chemical_formula_sum 'Pm6 Co1 Ni2 I3'
_space_group_name_H-M_alt 'P 1'
_space_group_IT_number 1
_space_group_name_Hall 'P 1'
_cell_length_a 7.0828
_cell_length_b 7.0828
_cell_length_c 8.3711
_cell_angle_alpha 98.10
_cell_angle_beta 98.10
_cell_angle_gamma 120.00
loop_
_atom_site_label
_atom_site_fract_x
_atom_site_fract_y
_atom_site_fract_z
Pm1 0.0607 0.3868 0.1819
Pm2 0.2652 0.2652 0.8176
Pm3 0.3868 0.0607 0.1819
Pm4 0.6132 0.9393 0.8181
Pm5 0.7348 0.7348 0.1824
Pm6 0.9393 0.6132 0.8181
Co1 0.0000 0.0000 0.0000
Ni1 0.3335 0.6665 0.0000
Ni2 0.6665 0.3335 0.0000
I1 0.1669 0.8331 0.5000
I2 0.5000 0.5000 0.5000
I3 0.8331 0.1669 0.5000
```

# 5
LiZnTeMo2: optimized geometry, PBE-GGA.

Formation energy from raw total energies (eV/atom): 1.067

```
data_LiZnTeMo2
_chemical_formula_sum 'Li1 Zn1 Te1 Mo2'
_space_group_name_H-M_alt 'P 1'
_space_group_IT_number 1
_space_group_name_Hall 'P 1'
_cell_length_a 4.5785
_cell_length_b 4.5785
_cell_length_c 3.8914
_cell_angle_alpha 90.00
_cell_angle_beta 90.00
_cell_angle_gamma 90.00
loop_
_atom_site_label
_atom_site_fract_x
_atom_site_fract_y
_atom_site_fract_z
Li1 0.0000 0.0000 0.0000
Zn1 0.0000 0.0000 0.5000
Te1 0.5000 0.5000 0.5000
Mo1 0.0000 0.5000 0.0000
Mo2 0.5000 0.0000 0.0000
```

# 6
Li2Zn5CuPd2: optimized geometry, PBE-GGA.

Energy of formation (meV per atom): -261.0

```
data_Li2Zn5CuPd2
_chemical_formula_sum 'Li4 Zn10 Cu2 Pd4'
_space_group_name_H-M_alt 'P 1'
_space_group_IT_number 1
_space_group_name_Hall 'P 1'
_cell_length_a 9.2515
_cell_length_b 9.2515
_cell_length_c 3.7071
_cell_angle_alpha 90.00
_cell_angle_beta 90.00
_cell_angle_gamma 90.00
loop_
_atom_site_label
_atom_site_fract_x
_atom_site_fract_y
_atom_site_fract_z
Li1 0.1686 0.3314 0.0000
Li2 0.3314 0.8314 0.0000
Li3 0.6686 0.1686 0.0000
Li4 0.8314 0.6686 0.0000
Zn1 0.0000 0.5000 0.5000
Zn2 0.0722 0.8117 0.5000
Zn3 0.1883 0.0722 0.5000
Zn4 0.3117 0.5722 0.5000
Zn5 0.4278 0.3117 0.5000
Zn6 0.5000 0.0000 0.5000
Zn7 0.5722 0.6883 0.5000
Zn8 0.6883 0.4278 0.5000
Zn9 0.8117 0.9278 0.5000
Zn10 0.9278 0.1883 0.5000
Cu1 0.0000 0.0000 0.0000
Cu2 0.5000 0.5000 0.0000
Pd1 0.1297 0.6297 0.0000
Pd2 0.3703 0.1297 0.0000
Pd3 0.6297 0.8703 0.0000
Pd4 0.8703 0.3703 0.0000
```

# 7
Li2BePb: optimized geometry, PBE-GGA.

Energy of formation (meV per atom): -16.2
Energy above the lowest structure with this stoichiometry (kJ/mol of formula units): 0.0

```
data_Li2BePb
_chemical_formula_sum 'Li4 Be2 Pb2'
_space_group_name_H-M_alt 'P 1'
_space_group_IT_number 1
_space_group_name_Hall 'P 1'
_cell_length_a 4.4753
_cell_length_b 4.4753
_cell_length_c 6.3617
_cell_angle_alpha 90.00
_cell_angle_beta 90.00
_cell_angle_gamma 90.00
loop_
_atom_site_label
_atom_site_fract_x
_atom_site_fract_y
_atom_site_fract_z
Li1 0.0000 0.0000 0.0000
Li2 0.0000 0.5000 0.2500
Li3 0.5000 0.0000 0.7500
Li4 0.5000 0.5000 0.5000
Be1 0.0000 0.0000 0.5000
Be2 0.5000 0.5000 0.0000
Pb1 0.0000 0.5000 0.7500
Pb2 0.5000 0.0000 0.2500
```

# 8
CsVNi2Os: optimized geometry, PBE-GGA.

Energy of formation (meV per atom): 2787.4

```
data_CsVNi2Os
_chemical_formula_sum 'Cs1 V1 Ni2 Os1'
_space_group_name_H-M_alt 'P 1'
_space_group_IT_number 1
_space_group_name_Hall 'P 1'
_cell_length_a 4.6217
_cell_length_b 4.6217
_cell_length_c 5.1240
_cell_angle_alpha 90.00
_cell_angle_beta 90.00
_cell_angle_gamma 90.00
loop_
_atom_site_label
_atom_site_fract_x
_atom_site_fract_y
_atom_site_fract_z
Cs1 0.0000 0.0000 0.0000
V1 0.5000 0.5000 0.5000
Ni1 0.0000 0.5000 0.0000
Ni2 0.5000 0.0000 0.0000
Os1 0.0000 0.0000 0.5000
```

# 9
Sr2ZnRuN: optimized geometry, PBE-GGA.

Formation energy from raw total energies (eV/atom): -0.342

```
data_Sr2ZnRuN
_chemical_formula_sum 'Sr2 Zn1 Ru1 N1'
_space_group_name_H-M_alt 'P 1'
_space_group_IT_number 1
_space_group_name_Hall 'P 1'
_cell_length_a 5.4162
_cell_length_b 5.4162
_cell_length_c 3.8274
_cell_angle_alpha 90.00
_cell_angle_beta 90.00
_cell_angle_gamma 90.00
loop_
_atom_site_label
_atom_site_fract_x
_atom_site_fract_y
_atom_site_fract_z
Sr1 0.0000 0.5000 0.0000
Sr2 0.5000 0.0000 0.0000
Zn1 0.0000 0.0000 0.5000
Ru1 0.5000 0.5000 0.5000
N1 0.5000 0.5000 0.0000
```

# 10
LaScGa4: optimized geometry, PBE-GGA.

Energy of formation (meV per atom): -557.9
Energy above the lowest structure with this stoichiometry (kJ/mol of formula units): 30.1

```
data_LaScGa4
_chemical_formula_sum 'La4 Sc4 Ga16'
_space_group_name_H-M_alt 'P 1'
_space_group_IT_number 1
_space_group_name_Hall 'P 1'
_cell_length_a 8.1186
_cell_length_b 15.5905
_cell_length_c 4.1649
_cell_angle_alpha 90.00
_cell_angle_beta 90.00
_cell_angle_gamma 90.00
loop_
_atom_site_label
_atom_site_fract_x
_atom_site_fract_y
_atom_site_fract_z
La1 0.1309 0.1476 0.0000
La2 0.3691 0.6476 0.0000
La3 0.6309 0.3524 0.0000
La4 0.8691 0.8524 0.0000
Sc1 0.1272 0.4173 0.0000
Sc2 0.3728 0.9173 0.0000
Sc3 0.6272 0.0827 0.0000
Sc4 0.8728 0.5827 0.0000
Ga1 0.0124 0.6987 0.5000
Ga2 0.1183 0.5514 0.5000
Ga3 0.1299 0.9660 0.5000
Ga4 0.2074 0.8133 0.5000
Ga5 0.2926 0.3133 0.5000
Ga6 0.3701 0.4660 0.5000
Ga7 0.3817 0.0514 0.5000
Ga8 0.4876 0.1987 0.5000
Ga9 0.5124 0.8013 0.5000
Ga10 0.6183 0.9486 0.5000
Ga11 0.6299 0.5340 0.5000
Ga12 0.7074 0.6867 0.5000
Ga13 0.7926 0.1867 0.5000
Ga14 0.8701 0.0340 0.5000
Ga15 0.8817 0.4486 0.5000
Ga16 0.9876 0.3013 0.5000
```

# 11
BaReRh: optimized geometry, PBE-GGA.

Energy of formation (meV per atom): 653.9
Energy above the lowest structure with this stoichiometry (kJ/mol of formula units): 153.8

```
data_BaReRh
_chemical_formula_sum 'Ba4 Re4 Rh4'
_space_group_name_H-M_alt 'P 1'
_space_group_IT_number 1
_space_group_name_Hall 'P 1'
_cell_length_a 6.0598
_cell_length_b 4.3797
_cell_length_c 11.5624
_cell_angle_alpha 90.00
_cell_angle_beta 90.00
_cell_angle_gamma 90.00
loop_
_atom_site_label
_atom_site_fract_x
_atom_site_fract_y
_atom_site_fract_z
Ba1 0.1102 0.2500 0.1350
Ba2 0.3898 0.7500 0.6350
Ba3 0.6102 0.2500 0.3650
Ba4 0.8898 0.7500 0.8650
Re1 0.1001 0.7500 0.3507
Re2 0.3999 0.2500 0.8507
Re3 0.6001 0.7500 0.1493
Re4 0.8999 0.2500 0.6493
Rh1 0.1027 0.2500 0.4436
Rh2 0.3973 0.7500 0.9436
Rh3 0.6027 0.2500 0.0564
Rh4 0.8973 0.7500 0.5564
```

Repeat the first record exactly.
Nd2MgI: optimized geometry, PBE-GGA.

Energy above the lowest structure with this stoichiometry (kJ/mol of formula units): 18.2
Formation energy from raw total energies (eV/atom): -0.344

```
data_Nd2MgI
_chemical_formula_sum 'Nd6 Mg3 I3'
_space_group_name_H-M_alt 'P 1'
_space_group_IT_number 1
_space_group_name_Hall 'P 1'
_cell_length_a 3.8405
_cell_length_b 3.8405
_cell_length_c 30.5611
_cell_angle_alpha 90.00
_cell_angle_beta 90.00
_cell_angle_gamma 120.00
loop_
_atom_site_label
_atom_site_fract_x
_atom_site_fract_y
_atom_site_fract_z
Nd1 0.0000 0.0000 0.0000
Nd2 0.0000 0.0000 0.1676
Nd3 0.3333 0.6667 0.6667
Nd4 0.3333 0.6667 0.8343
Nd5 0.6667 0.3333 0.3333
Nd6 0.6667 0.3333 0.5010
Mg1 0.0000 0.0000 0.4168
Mg2 0.3333 0.6667 0.0835
Mg3 0.6667 0.3333 0.7501
I1 0.0000 0.0000 0.5835
I2 0.3333 0.6667 0.2502
I3 0.6667 0.3333 0.9169
```